Cs5KAs2 GGA-PBE optimized geometry; N(E_F) = 1.053 states/eV/atom; SG = P6_3/mmc, No. 194; energy relative to the elements = -0.211 eV/atom; VASP energy = -32.70 eV for the cell shown
1.0
-5.8296 1.3640 2.7299
5.1476 -1.5027 3.8132
5.6824 22.1608 1.0620
K Cs As
2 10 4
direct
0.3333 0.6667 0.2500
0.6667 0.3333 0.7500
0.0000 0.0000 0.6172
0.6667 0.3333 0.0504
0.3333 0.6667 0.5504
0.0000 0.0000 0.3828
0.6667 0.3333 0.4496
0.3333 0.6667 0.7500
0.0000 0.0000 0.8828
0.0000 0.0000 0.1172
0.6667 0.3333 0.2500
0.3333 0.6667 0.9496
0.6667 0.3333 0.8878
0.3333 0.6667 0.3878
0.6667 0.3333 0.6122
0.3333 0.6667 0.1122